Model i:
Here is MgSc2Tl at its PBEsol-relaxed geometry from Alexandria. Energies are from meta-GGA SCAN.

Cell and atoms, written as POSCAR:
```
MgSc2Tl
1.0
3.346 0.000 0.000
0.000 4.646 0.000
-1.673 0.000 5.862
Sc Tl Mg
2 1 1
direct
0.075 0.000 0.150
0.423 0.500 0.846
0.822 0.000 0.644
0.678 0.500 0.357
```

***

Model ii:
Here is MgSc2Tl at its PBEsol-relaxed geometry from Alexandria. Energies are from meta-GGA SCAN.

Cell and atoms, written as POSCAR:
```
MgSc2Tl
1.0
4.246 0.000 0.000
0.000 4.536 0.000
0.000 0.000 4.536
Sc Tl Mg
2 1 1
direct
0.000 0.000 0.500
0.000 0.500 0.000
0.500 0.500 0.500
0.500 0.000 0.000
```

***

Q: Which of them is the most stable? A: model ii.

***

Model i:
Here is YMgSc at its PBEsol-relaxed geometry from Alexandria. Energies are from meta-GGA SCAN.

Cell and atoms, written as POSCAR:
```
YMgSc
1.0
5.038 0.000 0.000
2.519 4.363 0.000
2.519 1.454 4.114
Mg Sc Y
1 1 1
direct
0.500 0.500 0.500
0.250 0.250 0.250
0.000 0.000 0.000
```

***

Model ii:
Here is YMgSc at its PBEsol-relaxed geometry from Alexandria. Energies are from meta-GGA SCAN.

Cell and atoms, written as POSCAR:
```
YMgSc
1.0
-1.155 3.060 1.153
-1.923 -1.625 2.385
6.408 -0.432 2.352
Y Sc Mg
1 1 1
direct
0.333 0.333 0.666
0.659 0.659 0.318
0.008 0.008 0.015
```

***

Q: Which of them is the most stable? A: model ii.

***

Model i:
Here is SrMgSe at its PBEsol-relaxed geometry from Alexandria. Energies are from meta-GGA SCAN.

Cell and atoms, written as POSCAR:
```
SrMgSe
1.0
5.082 0.000 0.000
2.541 4.401 0.000
2.541 1.467 4.150
Sr Mg Se
1 1 1
direct
0.500 0.500 0.500
0.750 0.750 0.750
0.000 0.000 0.000
```

***

Model ii:
Here is SrMgSe at its PBEsol-relaxed geometry from Alexandria. Energies are from meta-GGA SCAN.

Cell and atoms, written as POSCAR:
```
SrMgSe
1.0
-0.607 -3.131 1.784
3.525 -0.150 0.953
-2.682 4.734 3.645
Sr Mg Se
1 1 1
direct
0.688 0.688 0.377
0.967 0.967 0.935
0.344 0.344 0.689
```

***

Q: Which of them is the most stable? A: model ii.

***

Model i:
Here is MgTaSe at its PBEsol-relaxed geometry from Alexandria. Energies are from meta-GGA SCAN.

Cell and atoms, written as POSCAR:
```
MgTaSe
1.0
3.266 0.000 0.000
0.000 3.266 0.000
-1.633 -1.633 5.276
Mg Se Ta
1 1 1
direct
0.004 0.004 0.007
0.305 0.305 0.610
0.691 0.691 0.383
```

***

Model ii:
Here is MgTaSe at its PBEsol-relaxed geometry from Alexandria. Energies are from meta-GGA SCAN.

Cell and atoms, written as POSCAR:
```
MgTaSe
1.0
3.236 0.000 0.000
-1.618 2.803 0.000
0.000 0.000 6.358
Mg Se Ta
1 1 1
direct
0.000 0.000 0.999
0.333 0.667 0.638
0.667 0.333 0.363
```

***

Q: Which of them is the most stable? A: model ii.

***

Model i:
Here is Mg2TlSe at its PBEsol-relaxed geometry from Alexandria. Energies are from meta-GGA SCAN.

Cell and atoms, written as POSCAR:
```
Mg2TlSe
1.0
-2.140 -0.327 -2.998
0.173 -3.059 -2.070
-6.201 -4.358 2.620
Mg Se Tl
2 1 1
direct
0.764 0.764 0.709
0.236 0.236 0.291
0.500 0.500 0.500
0.000 0.000 0.000
```

***

Model ii:
Here is Mg2TlSe at its PBEsol-relaxed geometry from Alexandria. Energies are from meta-GGA SCAN.

Cell and atoms, written as POSCAR:
```
Mg2TlSe
1.0
-4.372 0.544 -1.319
1.019 -1.785 -4.113
0.756 -3.255 4.170
Mg Se Tl
2 1 1
direct
0.750 0.250 0.500
0.250 0.750 0.500
0.000 0.000 0.000
0.500 0.500 0.000
```

***

Q: Which of them is the most stable? A: model i.

***

Model i:
Here is Tm2MgSe4 at its PBEsol-relaxed geometry from Alexandria. Energies are from meta-GGA SCAN.

Cell and atoms, written as POSCAR:
```
Tm2MgSe4
1.0
8.083 0.000 0.000
4.041 7.000 0.000
4.041 2.333 6.599
Tm Mg Se
4 2 8
direct
0.625 0.625 0.125
0.125 0.625 0.625
0.625 0.625 0.625
0.625 0.125 0.625
0.250 0.250 0.250
0.000 0.000 0.000
0.870 0.391 0.870
0.380 0.380 0.859
0.380 0.859 0.380
0.391 0.870 0.870
0.870 0.870 0.391
0.380 0.380 0.380
0.859 0.380 0.380
0.870 0.870 0.870
```

***

Model ii:
Here is Tm2MgSe4 at its PBEsol-relaxed geometry from Alexandria. Energies are from meta-GGA SCAN.

Cell and atoms, written as POSCAR:
```
Tm2MgSe4
1.0
-0.335 2.321 3.140
-12.067 2.927 -3.452
-4.629 -10.505 7.273
Tm Mg Se
8 4 16
direct
0.750 0.387 0.424
0.250 0.613 0.576
0.250 0.113 0.924
0.750 0.887 0.076
0.750 0.355 0.798
0.250 0.645 0.202
0.250 0.145 0.298
0.750 0.855 0.702
0.250 0.384 0.055
0.750 0.616 0.945
0.750 0.116 0.555
0.250 0.884 0.445
0.250 0.486 0.883
0.750 0.514 0.117
0.750 0.014 0.383
0.250 0.986 0.617
0.750 0.468 0.619
0.250 0.532 0.381
0.250 0.032 0.119
0.750 0.968 0.881
0.750 0.281 0.246
0.250 0.719 0.754
0.250 0.219 0.746
0.750 0.781 0.254
0.250 0.244 0.486
0.750 0.756 0.514
0.750 0.256 0.986
0.250 0.744 0.014
```

***

Q: Which of them is the most stable? A: model i.

***

Model i:
Here is MgW2Se at its PBEsol-relaxed geometry from Alexandria. Energies are from meta-GGA SCAN.

Cell and atoms, written as POSCAR:
```
MgW2Se
1.0
-0.524 -2.866 0.397
1.781 -2.002 -1.211
5.442 -1.538 6.973
Mg Se W
1 1 2
direct
0.500 0.500 0.500
0.000 0.000 0.000
0.259 0.259 0.224
0.741 0.741 0.776
```

***

Model ii:
Here is MgW2Se at its PBEsol-relaxed geometry from Alexandria. Energies are from meta-GGA SCAN.

Cell and atoms, written as POSCAR:
```
MgW2Se
1.0
-2.025 -2.027 0.315
1.969 -1.267 4.512
-3.602 3.587 -0.069
Mg Se W
1 1 2
direct
0.500 0.000 0.000
0.500 0.500 0.500
0.000 0.500 0.000
0.000 0.000 0.500
```

***

Model iii:
Here is MgW2Se at its PBEsol-relaxed geometry from Alexandria. Energies are from meta-GGA SCAN.

Cell and atoms, written as POSCAR:
```
MgW2Se
1.0
3.023 0.000 0.000
-1.512 4.555 0.006
0.000 -1.548 4.892
Mg Se W
1 1 2
direct
0.521 0.041 0.541
0.270 0.540 0.681
0.967 0.935 0.032
0.742 0.484 0.246
```

***

Q: Which of them is the most stable? A: model i.

***

Model i:
Here is Y2MgSe at its PBEsol-relaxed geometry from Alexandria. Energies are from meta-GGA SCAN.

Cell and atoms, written as POSCAR:
```
Y2MgSe
1.0
3.824 0.000 0.000
1.912 3.312 0.000
1.912 1.104 8.294
Y Mg Se
2 1 1
direct
0.264 0.264 0.207
0.736 0.736 0.793
0.500 0.500 0.500
0.000 0.000 0.000
```

***

Model ii:
Here is Y2MgSe at its PBEsol-relaxed geometry from Alexandria. Energies are from meta-GGA SCAN.

Cell and atoms, written as POSCAR:
```
Y2MgSe
1.0
3.553 0.000 0.000
0.000 4.952 0.000
-1.777 -2.476 5.634
Mg Se Y
1 1 2
direct
0.544 0.544 0.087
0.256 0.756 0.512
0.962 0.962 0.923
0.739 0.239 0.477
```

***

Model iii:
Here is Y2MgSe at its PBEsol-relaxed geometry from Alexandria. Energies are from meta-GGA SCAN.

Cell and atoms, written as POSCAR:
```
Y2MgSe
1.0
6.501 0.000 0.000
3.250 5.727 0.000
3.250 0.000 5.727
Y Mg Se
4 2 2
direct
0.085 0.040 0.540
0.665 0.960 0.460
0.375 0.540 0.960
0.875 0.460 0.040
0.250 0.500 0.500
0.500 0.000 0.000
0.750 0.500 0.500
0.000 0.000 0.000
```

***

Q: Which of them is the most stable? A: model i.